Entry 1:
Material: ScTcP2Cl
Method: DFT, PBE
State: relaxed

Summary:
For the uncorrected formation energy, the calculation gives 0.5442 eV/atom. The calculation puts the polymorph energy (0 for the lowest one) at 246 kJ/mol of formula units.

a b c (Å): 5.0092 5.0092 4.7581
angles (deg): 90.00 90.00 90.00
Sites, in units of the cell vectors:
Sc (0.0000, 0.0000, 0.0000)
Tc (0.5000, 0.5000, 0.5000)
P (0.0000, 0.5000, 0.0000)
P (0.5000, 0.0000, 0.0000)
Cl (0.0000, 0.0000, 0.5000)

Entry 2:
Material: AsPH2Pt
Method: DFT, PBE
State: relaxed

a b c (Å): 3.5395 3.5395 5.2122
angles (deg): 90.00 90.00 90.00
Sites, in units of the cell vectors:
As (0.0000, 0.0000, 0.0000)
P (0.5000, 0.5000, 0.0000)
H (0.0000, 0.5000, 0.5000)
H (0.5000, 0.0000, 0.5000)
Pt (0.0000, 0.0000, 0.5000)

Entry 3:
Material: ZrNi3P
Method: DFT, PBE
State: relaxed

Summary:
The calculation puts the polymorph energy (0 for the lowest one) at 805 kJ/mol of formula units. The calculation puts the energy relative to the elements at 1412 meV/atom.

a b c (Å): 4.5740 4.5740 4.5740
angles (deg): 90.00 90.00 90.00
Sites, in units of the cell vectors:
Zr (0.0000, 0.0000, 0.0000)
Ni (0.0000, 0.0000, 0.5000)
Ni (0.0000, 0.5000, 0.0000)
Ni (0.5000, 0.0000, 0.0000)
P (0.5000, 0.5000, 0.5000)

Entry 4:
Material: TiIrAu
Method: DFT, PBE
State: relaxed

Summary:
The calculation puts the polymorph energy (0 for the lowest one) at 7 kJ/mol of formula units. The calculation puts the energy relative to the elements at -507 meV/atom.

a b c (Å): 2.9902 7.4040 7.4040
angles (deg): 143.66 90.00 90.00
Sites, in units of the cell vectors:
Ti (0.0000, 0.1668, 0.8332)
Ti (0.0000, 0.8332, 0.1668)
Ir (0.5000, 0.3118, 0.6797)
Ir (0.5000, 0.6797, 0.3118)
Au (0.0000, 0.3305, 0.3305)
Au (0.5000, 0.8266, 0.8266)

Entry 5:
Material: Tm3Cd3Pd2
Method: DFT, PBE
State: relaxed

Summary:
The calculation puts the energy relative to the elements at -638 meV/atom.

a b c (Å): 7.5497 7.5497 3.6647
angles (deg): 90.00 90.00 120.00
Sites, in units of the cell vectors:
Tm (0.0000, 0.4188, 0.0000)
Tm (0.4188, 0.0000, 0.0000)
Tm (0.5812, 0.5812, 0.0000)
Cd (0.0000, 0.7708, 0.5000)
Cd (0.2292, 0.2292, 0.5000)
Cd (0.7708, 0.0000, 0.5000)
Pd (0.3333, 0.6667, 0.5000)
Pd (0.6667, 0.3333, 0.5000)

Entry 6:
Material: AcPr6HoEr2
Method: DFT, PBE
State: relaxed

Summary:
The calculation puts the energy relative to the elements at 118 meV/atom.

a b c (Å): 9.0857 9.0857 9.7973
angles (deg): 93.11 93.11 117.10
Sites, in units of the cell vectors:
Ac (0.0291, 0.9709, 0.7500)
Ac (0.9709, 0.0291, 0.2500)
Pr (0.0040, 0.5527, 0.6842)
Pr (0.1195, 0.7568, 0.0534)
Pr (0.2432, 0.8805, 0.4466)
Pr (0.2921, 0.5122, 0.8825)
Pr (0.4473, 0.9960, 0.8158)
Pr (0.4878, 0.7079, 0.6175)
Pr (0.5122, 0.2921, 0.3825)
Pr (0.5527, 0.0040, 0.1842)
Pr (0.7079, 0.4878, 0.1175)
Pr (0.7568, 0.1195, 0.5534)
Pr (0.8805, 0.2432, 0.9466)
Pr (0.9960, 0.4473, 0.3158)
Ho (0.4130, 0.5870, 0.2500)
Ho (0.5870, 0.4130, 0.7500)
Er (0.2060, 0.3115, 0.5483)
Er (0.3115, 0.2060, 0.0483)
Er (0.6885, 0.7940, 0.9517)
Er (0.7940, 0.6885, 0.4517)

Entry 7:
Material: CdPW2
Method: DFT, PBE
State: relaxed

Summary:
The calculation puts the polymorph energy (0 for the lowest one) at 193 kJ/mol of formula units. The calculation puts the energy relative to the elements at 754 meV/atom.

a b c (Å): 3.1915 4.4927 4.6041
angles (deg): 90.00 90.00 90.00
Sites, in units of the cell vectors:
Cd (0.0000, 0.0000, 0.0000)
P (0.5000, 0.0000, 0.5000)
W (0.0000, 0.5000, 0.5000)
W (0.5000, 0.5000, 0.0000)

Entry 8:
Material: LaTb5Th
Method: DFT, PBE
State: relaxed

Summary:
The calculation puts the energy relative to the elements at 134 meV/atom.

a b c (Å): 6.3028 8.8060 8.8495
angles (deg): 78.47 75.23 86.97
Sites, in units of the cell vectors:
La (0.1069, 0.2925, 0.1963)
La (0.8931, 0.7075, 0.8037)
Tb (0.1346, 0.0776, 0.6008)
Tb (0.2551, 0.3576, 0.7961)
Tb (0.3035, 0.6645, 0.0361)
Tb (0.4306, 0.9754, 0.2126)
Tb (0.4449, 0.7067, 0.5866)
Tb (0.5551, 0.2933, 0.4134)
Tb (0.5694, 0.0246, 0.7874)
Tb (0.6965, 0.3355, 0.9639)
Tb (0.7449, 0.6424, 0.2039)
Tb (0.8654, 0.9224, 0.3992)
Th (0.0000, 0.0000, 0.0000)
Th (0.0000, 0.5000, 0.5000)

Entry 9:
Material: Pm2SnGe4Rh3
Method: DFT, PBE
State: relaxed

Summary:
The calculation puts the energy relative to the elements at -713 meV/atom.

a b c (Å): 4.2967 4.2967 10.5465
angles (deg): 90.00 90.00 90.00
Sites, in units of the cell vectors:
Pm (0.0000, 0.5000, 0.2341)
Pm (0.5000, 0.0000, 0.7659)
Sn (0.0000, 0.0000, 0.5000)
Ge (0.0000, 0.0000, 0.0000)
Ge (0.0000, 0.5000, 0.6575)
Ge (0.5000, 0.0000, 0.3425)
Ge (0.5000, 0.5000, 0.0000)
Rh (0.0000, 0.5000, 0.8840)
Rh (0.5000, 0.0000, 0.1160)
Rh (0.5000, 0.5000, 0.5000)

Entry 10:
Material: LiLu2Al
Method: DFT, PBE
State: relaxed

Summary:
The calculation puts the polymorph energy (0 for the lowest one) at 8 kJ/mol of formula units. The calculation puts the energy relative to the elements at -178 meV/atom.

a b c (Å): 4.9981 4.9981 3.6491
angles (deg): 90.00 90.00 90.00
Sites, in units of the cell vectors:
Li (0.0000, 0.0000, 0.0000)
Lu (0.0000, 0.5000, 0.5000)
Lu (0.5000, 0.0000, 0.5000)
Al (0.5000, 0.5000, 0.0000)

Entry 11:
Material: CsSn6Hg2
Method: DFT, PBE
State: relaxed

Summary:
The calculation puts the energy relative to the elements at -2 meV/atom.

a b c (Å): 8.7098 8.7098 4.8632
angles (deg): 106.11 106.11 58.71
Sites, in units of the cell vectors:
Cs (0.0000, 0.0000, 0.0000)
Sn (0.0186, 0.3868, 0.7025)
Sn (0.3305, 0.6695, 0.5000)
Sn (0.3868, 0.0186, 0.7025)
Sn (0.6132, 0.9814, 0.2975)
Sn (0.6695, 0.3305, 0.5000)
Sn (0.9814, 0.6132, 0.2975)
Hg (0.3906, 0.3906, 0.8941)
Hg (0.6094, 0.6094, 0.1059)

Entry 12:
Material: Ac2PrPd
Method: DFT, PBE
State: relaxed

Summary:
The calculation puts the polymorph energy (0 for the lowest one) at 0 kJ/mol of formula units. The calculation puts the energy relative to the elements at -394 meV/atom.

a b c (Å): 7.6074 10.6397 6.9623
angles (deg): 90.00 90.00 90.00
Sites, in units of the cell vectors:
Ac (0.1815, 0.0647, 0.1670)
Ac (0.1815, 0.4353, 0.1670)
Ac (0.3185, 0.5647, 0.6670)
Ac (0.3185, 0.9353, 0.6670)
Ac (0.6815, 0.0647, 0.3330)
Ac (0.6815, 0.4353, 0.3330)
Ac (0.8185, 0.5647, 0.8330)
Ac (0.8185, 0.9353, 0.8330)
Pr (0.0319, 0.2500, 0.6564)
Pr (0.4681, 0.7500, 0.1564)
Pr (0.5319, 0.2500, 0.8436)
Pr (0.9681, 0.7500, 0.3436)
Pd (0.1214, 0.7500, 0.9362)
Pd (0.3786, 0.2500, 0.4362)
Pd (0.6214, 0.7500, 0.5638)
Pd (0.8786, 0.2500, 0.0638)

Entry 13:
Material: NaCe2I6
Method: DFT, PBE
State: relaxed

Summary:
For the uncorrected formation energy, the calculation gives -1.2537 eV/atom. The calculation puts the polymorph energy (0 for the lowest one) at 25 kJ/mol of formula units.

a b c (Å): 7.6987 7.6987 14.0105
angles (deg): 90.00 90.00 90.00
Sites, in units of the cell vectors:
Na (0.0000, 0.0000, 0.0000)
Na (0.5000, 0.5000, 0.5000)
Ce (0.0000, 0.0000, 0.3395)
Ce (0.0000, 0.0000, 0.6605)
Ce (0.5000, 0.5000, 0.1605)
Ce (0.5000, 0.5000, 0.8395)
I (0.2021, 0.2021, 0.1696)
I (0.2021, 0.2021, 0.8304)
I (0.2054, 0.2054, 0.5000)
I (0.2946, 0.7054, 0.0000)
I (0.2979, 0.7021, 0.3304)
I (0.2979, 0.7021, 0.6696)
I (0.7021, 0.2979, 0.3304)
I (0.7021, 0.2979, 0.6696)
I (0.7054, 0.2946, 0.0000)
I (0.7946, 0.7946, 0.5000)
I (0.7979, 0.7979, 0.1696)
I (0.7979, 0.7979, 0.8304)

Entry 14:
Material: VTeRuC2
Method: DFT, PBE
State: relaxed

Summary:
For the uncorrected formation energy, the calculation gives 1.5644 eV/atom.

a b c (Å): 3.9226 3.9226 4.9399
angles (deg): 90.00 90.00 90.00
Sites, in units of the cell vectors:
V (0.0000, 0.0000, 0.0000)
Te (0.5000, 0.5000, 0.5000)
Ru (0.0000, 0.0000, 0.5000)
C (0.0000, 0.5000, 0.0000)
C (0.5000, 0.0000, 0.0000)

Entry 15:
Material: Th3Se5
Method: DFT, PBE
State: relaxed

Summary:
For the uncorrected formation energy, the calculation gives -1.6230 eV/atom. The calculation puts the polymorph energy (0 for the lowest one) at 35 kJ/mol of formula units.

a b c (Å): 8.4891 8.4891 6.7657
angles (deg): 90.00 90.00 120.00
Sites, in units of the cell vectors:
Th (0.0000, 0.3948, 0.2500)
Th (0.0000, 0.6052, 0.7500)
Th (0.3948, 0.0000, 0.2500)
Th (0.3948, 0.3948, 0.7500)
Th (0.6052, 0.0000, 0.7500)
Th (0.6052, 0.6052, 0.2500)
Se (0.0000, 0.2559, 0.7500)
Se (0.0000, 0.7441, 0.2500)
Se (0.2559, 0.0000, 0.7500)
Se (0.2559, 0.2559, 0.2500)
Se (0.3333, 0.6667, 0.0000)
Se (0.3333, 0.6667, 0.5000)
Se (0.6667, 0.3333, 0.0000)
Se (0.6667, 0.3333, 0.5000)
Se (0.7441, 0.0000, 0.2500)
Se (0.7441, 0.7441, 0.7500)

Entry 16:
Material: Th4ReSiSe2
Method: DFT, PBE
State: relaxed

Summary:
For the uncorrected formation energy, the calculation gives -0.9129 eV/atom.

a b c (Å): 7.3881 4.1856 7.4813
angles (deg): 90.00 108.33 90.00
Sites, in units of the cell vectors:
Th (0.2303, 0.0000, 0.2217)
Th (0.2449, 0.5000, 0.7743)
Th (0.7551, 0.5000, 0.2257)
Th (0.7697, 0.0000, 0.7783)
Re (0.0000, 0.5000, 0.0000)
Si (0.5000, 0.0000, 0.0000)
Se (0.0000, 0.0000, 0.5000)
Se (0.5000, 0.5000, 0.5000)

Entry 17:
Material: Na2NiOsRu
Method: DFT, PBE
State: relaxed

Summary:
The calculation puts the energy relative to the elements at 1642 meV/atom.

a b c (Å): 4.5806 4.5806 4.5772
angles (deg): 90.00 90.00 90.00
Sites, in units of the cell vectors:
Na (0.0000, 0.5000, 0.0000)
Na (0.5000, 0.0000, 0.0000)
Ni (0.0000, 0.0000, 0.0000)
Os (0.0000, 0.0000, 0.5000)
Ru (0.5000, 0.5000, 0.5000)

Entry 18:
Material: CeCd11In
Method: DFT, PBE
State: relaxed

Summary:
The calculation puts the energy relative to the elements at -69 meV/atom.

a b c (Å): 7.7496 7.7496 7.6729
angles (deg): 98.64 98.64 134.40
Sites, in units of the cell vectors:
Ce (0.0000, 0.0000, 0.0000)
Cd (0.0000, 0.5000, 0.0000)
Cd (0.0018, 0.3569, 0.3514)
Cd (0.2952, 0.5082, 0.7899)
Cd (0.3569, 0.0018, 0.3514)
Cd (0.4918, 0.7048, 0.2101)
Cd (0.5000, 0.0000, 0.0000)
Cd (0.5000, 0.5000, 0.5000)
Cd (0.5082, 0.2952, 0.7899)
Cd (0.6431, 0.9982, 0.6486)
Cd (0.7048, 0.4918, 0.2101)
Cd (0.9982, 0.6431, 0.6486)
In (0.0000, 0.0000, 0.5000)

Entry 19:
Material: PtRh2Au
Method: DFT, PBE
State: relaxed

Summary:
The calculation puts the polymorph energy (0 for the lowest one) at 201 kJ/mol of formula units. The calculation puts the energy relative to the elements at 578 meV/atom.

a b c (Å): 6.2988 6.2988 6.2988
angles (deg): 34.88 34.88 34.88
Sites, in units of the cell vectors:
Pt (0.0000, 0.0000, 0.0000)
Rh (0.2531, 0.2531, 0.2531)
Rh (0.4071, 0.4071, 0.4071)
Au (0.8304, 0.8304, 0.8304)

Entry 20:
Material: Be2AsRh
Method: DFT, PBE
State: relaxed

Summary:
The calculation puts the energy relative to the elements at -113 meV/atom.

a b c (Å): 4.1416 4.1416 2.8979
angles (deg): 90.00 90.00 106.34
Sites, in units of the cell vectors:
Be (0.0000, 0.5000, 0.0000)
Be (0.5000, 0.0000, 0.0000)
As (0.0000, 0.0000, 0.5000)
Rh (0.5000, 0.5000, 0.5000)

Entry 21:
Material: LaYIn2Se4
Method: DFT, PBE
State: relaxed

Summary:
For the uncorrected formation energy, the calculation gives -1.3309 eV/atom.

a b c (Å): 7.4071 4.2725 8.0854
angles (deg): 90.00 107.68 90.00
Sites, in units of the cell vectors:
La (0.0000, 0.0000, 0.0000)
Y (0.5000, 0.5000, 0.0000)
In (0.0000, 0.5000, 0.5000)
In (0.5000, 0.0000, 0.5000)
Se (0.2492, 0.5000, 0.2143)
Se (0.2737, 0.0000, 0.7899)
Se (0.7263, 0.0000, 0.2101)
Se (0.7508, 0.5000, 0.7857)

Entry 22:
Material: Ni4MoRu
Method: DFT, PBE
State: relaxed

Summary:
The calculation puts the polymorph energy (0 for the lowest one) at 0 kJ/mol of formula units. The calculation puts the energy relative to the elements at -32 meV/atom.

a b c (Å): 7.5054 7.5054 4.0704
angles (deg): 90.00 90.00 140.71
Sites, in units of the cell vectors:
Ni (0.0410, 0.4571, 0.2500)
Ni (0.2049, 0.2882, 0.2500)
Ni (0.2882, 0.2049, 0.7500)
Ni (0.4571, 0.0410, 0.7500)
Ni (0.5429, 0.9590, 0.2500)
Ni (0.7118, 0.7951, 0.2500)
Ni (0.7951, 0.7118, 0.7500)
Ni (0.9590, 0.5429, 0.7500)
Mo (0.3755, 0.6245, 0.7500)
Mo (0.6245, 0.3755, 0.2500)
Ru (0.1251, 0.8749, 0.2500)
Ru (0.8749, 0.1251, 0.7500)

Calculated E (eV per cell), listed in the same order as above: -26.6 -21.6 -24.2 -43.1 -31.7 -90.6 -29.2 -69.1 -61.2 -15.4 -25.5 -79.1 -67.5 -32.2 -105.3 -61.8 -20.7 -19.6 -21.7 -19.9 -41.5 -86.8